a | Below is a relaxed Li3PO4 crystal, with properties calculated at the PBEsol level.

```
Li3PO4
1.0
4.9451 0.0000 0.0000
0.0000 6.0558 0.0000
0.0000 0.0000 10.4712
Li O P
12 16 4
direct
0.3061 0.4878 0.1644
0.1939 0.5122 0.6644
0.6939 0.9878 0.8356
0.8061 0.0122 0.3356
0.6939 0.5122 0.8356
0.8061 0.4878 0.3356
0.3061 0.0122 0.1644
0.1939 0.9878 0.6644
0.1970 0.7500 0.4236
0.3030 0.2500 0.9236
0.8030 0.2500 0.5764
0.6970 0.7500 0.0764
0.2089 0.0407 0.3448
0.2911 0.9593 0.8448
0.7911 0.5407 0.6552
0.7089 0.4593 0.1552
0.7911 0.9593 0.6552
0.7089 0.0407 0.1552
0.2089 0.4593 0.3448
0.2911 0.5407 0.8448
0.1242 0.2500 0.0818
0.3758 0.7500 0.5818
0.8758 0.7500 0.9182
0.6242 0.2500 0.4182
0.2960 0.7500 0.0557
0.2040 0.2500 0.5557
0.7040 0.2500 0.9443
0.7960 0.7500 0.4443
0.3112 0.2500 0.4162
0.1888 0.7500 0.9162
0.6888 0.7500 0.5838
0.8112 0.2500 0.0838
```

Computed properties:
- V: 313.6 Å³ per cell
- SG: Pnma (62)

---

b | Below is a relaxed Li3PO4 crystal, with properties calculated at the PBEsol level.

```
Li3PO4
1.0
4.8336 0.0000 0.0000
0.0000 5.2262 0.0000
0.0000 0.0000 6.0823
Li O P
6 8 2
direct
0.0090 0.3278 0.2472
0.5090 0.6722 0.2528
0.5090 0.6722 0.7472
0.0090 0.3278 0.7528
0.0102 0.8428 0.5000
0.5102 0.1572 0.0000
0.1078 0.6861 0.2094
0.6078 0.3139 0.2906
0.6078 0.3139 0.7094
0.1078 0.6861 0.7906
0.1038 0.1069 0.0000
0.6038 0.8931 0.5000
0.1803 0.1802 0.5000
0.6803 0.8198 0.0000
0.0010 0.8253 0.0000
0.5010 0.1747 0.5000
```

Computed properties:
- V: 153.6 Å³ per cell
- SG: Pmn2_1 (31)

---

Which structure is most stable? b, by 0.016 eV/atom over the runner-up.

---

a | Below is a relaxed LiP2O2 crystal, with properties calculated at the PBEsol level.

```
LiP2O2
1.0
3.4872 0.0000 0.0000
0.0000 3.4872 0.0000
0.0000 0.0000 4.5204
P O Li
2 2 1
direct
0.5000 0.5000 0.5000
0.0000 0.0000 0.5000
0.0000 0.5000 0.0000
0.5000 0.0000 0.0000
0.0000 0.0000 0.0000
```

Computed properties:
- V: 55.0 Å³ per cell
- SG: P4/mmm (123)

---

b | Below is a relaxed LiP2O2 crystal, with properties calculated at the PBEsol level.

```
LiP2O2
1.0
3.0780 0.0000 0.0000
0.0000 3.0780 0.0000
-1.5390 -1.5390 6.0912
P O Li
2 2 1
direct
0.2500 0.7500 0.5000
0.7500 0.2500 0.5000
0.3937 0.3937 0.7874
0.6063 0.6063 0.2126
0.0000 0.0000 0.0000
```

Computed properties:
- V: 57.7 Å³ per cell
- SG: I4/mmm (139)

---

Which structure is most stable? b, by 0.526 eV/atom over the runner-up.

---

a | Below is a relaxed LiSbPO5 crystal, with properties calculated at the PBEsol level.

```
LiSbPO5
1.0
-6.5714 -3.8718 3.3531
2.3897 -4.1201 8.8902
-4.9091 6.6746 6.4138
Li Sb P O
8 8 8 40
direct
0.0178 0.8767 0.6601
0.7589 0.8196 0.0032
0.2337 0.2908 0.6442
0.4843 0.4325 0.2525
0.4524 0.5009 0.9562
0.8249 0.6214 0.4318
0.9823 0.0880 0.3293
0.1863 0.1701 0.0398
0.9932 0.9922 0.9898
0.5076 0.5097 0.5238
0.6984 0.7381 0.7466
0.6227 0.1237 0.6295
0.8484 0.3759 0.9012
0.1198 0.6279 0.1261
0.4091 0.8706 0.3587
0.2620 0.2502 0.2749
0.5775 0.1807 0.9566
0.1014 0.5796 0.8180
0.1444 0.6803 0.4230
0.3253 0.9602 0.6712
0.6768 0.0622 0.2984
0.9130 0.2982 0.5843
0.8576 0.4222 0.2126
0.3910 0.8241 0.0515
0.6301 0.3047 0.9859
0.1767 0.5402 0.9442
0.7224 0.0377 0.9728
0.2398 0.6102 0.6937
0.9252 0.7066 0.8436
0.5510 0.2093 0.8134
0.7556 0.9400 0.6892
0.5643 0.8261 0.9385
0.1825 0.8109 0.4586
0.0630 0.4424 0.7961
0.4749 0.3017 0.5690
0.3195 0.5499 0.4066
0.9821 0.6555 0.5250
0.0061 0.2023 0.9565
0.6685 0.5440 0.8617
0.3751 0.0854 0.7045
0.4325 0.8180 0.7292
0.7155 0.0427 0.4373
0.1267 0.9815 0.7236
0.1009 0.7261 0.2846
0.8778 0.2802 0.7397
0.8598 0.0574 0.1962
0.3868 0.9704 0.5143
0.5310 0.2068 0.2845
0.6216 0.9409 0.2705
0.3115 0.4640 0.1535
0.9411 0.7903 0.0836
0.1131 0.2708 0.5195
0.8008 0.4456 0.5391
0.5658 0.6983 0.4207
0.9272 0.5366 0.2430
0.8542 0.1798 0.5478
0.3950 0.1883 0.0597
0.2436 0.0468 0.3053
0.4519 0.7822 0.1837
0.0048 0.2756 0.2118
0.6813 0.4232 0.3192
0.2407 0.9666 0.0580
0.8169 0.4667 0.0736
0.3281 0.7078 0.0218
```

Computed properties:
- V: 777.6 Å³ per cell
- SG: P1 (1)

---

b | Below is a relaxed LiSbPO5 crystal, with properties calculated at the PBEsol level.

```
LiSbPO5
1.0
5.4903 0.0215 -0.0058
-0.7702 5.4361 -0.0058
-2.0843 -2.4099 6.7075
Li Sb P O
2 2 2 10
direct
0.1836 0.5773 0.6326
0.5773 0.1836 0.1326
0.9911 0.9936 0.4919
0.9936 0.9911 0.9919
0.3527 0.6583 0.2540
0.6583 0.3527 0.7540
0.0920 0.9040 0.7437
0.1621 0.6760 0.3757
0.3759 0.2983 0.6095
0.3273 0.8562 0.1392
0.2983 0.3759 0.1095
0.7237 0.6345 0.9022
0.6760 0.1621 0.8757
0.6345 0.7237 0.4022
0.8562 0.3273 0.6392
0.9040 0.0920 0.2437
```

Computed properties:
- V: 200.1 Å³ per cell
- SG: Cc (9)

---

Which structure is most stable? a, by 0.036 eV/atom over the runner-up.

---

a | Below is a relaxed LiSbP4O12 crystal, with properties calculated at the PBEsol level.

```
LiSbP4O12
1.0
-0.1786 4.7982 5.4903
-6.6620 -1.1753 5.6551
2.4032 -3.6170 8.0839
Li Sb P O
2 2 8 24
direct
0.0000 0.5000 0.5000
0.0000 0.0000 0.0000
0.7286 0.7500 0.2500
0.2714 0.2500 0.7500
0.7021 0.8923 0.8395
0.3386 0.7910 0.9017
0.0313 0.7090 0.5983
0.4339 0.6077 0.6605
0.5661 0.3923 0.3395
0.9687 0.2910 0.4017
0.6614 0.2090 0.0983
0.2979 0.1077 0.1605
0.2700 0.9673 0.7770
0.8245 0.8371 0.9622
0.8551 0.8667 0.6660
0.5712 0.7586 0.9076
0.4330 0.9201 0.2015
0.2373 0.7414 0.5924
0.3878 0.6333 0.8340
0.0257 0.7365 0.4291
0.6238 0.6629 0.5378
0.1913 0.7635 0.0709
0.0144 0.5327 0.7230
0.5546 0.5799 0.2985
0.4454 0.4201 0.7015
0.9856 0.4673 0.2770
0.8087 0.2365 0.9291
0.3762 0.3371 0.4622
0.9743 0.2635 0.5709
0.6122 0.3667 0.1660
0.7627 0.2586 0.4076
0.5670 0.0799 0.7985
0.4288 0.2414 0.0924
0.1449 0.1333 0.3340
0.1755 0.1629 0.0378
0.7300 0.0327 0.2230
```

Computed properties:
- V: 469.5 Å³ per cell
- SG: C2/c (15)

---

b | Below is a relaxed LiSbP4O12 crystal, with properties calculated at the PBEsol level.

```
LiSbP4O12
1.0
5.5674 0.1285 0.0904
1.9725 10.7729 -0.0741
1.9725 3.5691 10.1648
Li Sb P O
2 2 8 24
direct
0.5102 0.5942 0.5942
0.4898 0.4058 0.4058
0.0000 0.0000 0.5000
0.0000 0.5000 0.0000
0.8333 0.7883 0.3671
0.4452 0.9377 0.7053
0.5548 0.0623 0.2947
0.8333 0.3671 0.7883
0.1667 0.2117 0.6329
0.5548 0.2947 0.0623
0.4452 0.7053 0.9377
0.1667 0.6329 0.2117
0.9957 0.4415 0.8235
0.6772 0.3845 0.1010
0.3257 0.3148 0.5602
0.7229 0.6805 0.9248
0.3332 0.7119 0.0804
0.0000 0.2400 0.7600
0.7229 0.9248 0.6805
0.6668 0.9196 0.2881
0.3332 0.0804 0.7119
0.3592 0.8553 0.8553
0.6743 0.4398 0.6852
0.6408 0.1447 0.1447
0.6668 0.2881 0.9196
0.3228 0.6155 0.8990
0.2771 0.3195 0.0752
0.9957 0.8235 0.4415
0.0000 0.7600 0.2400
0.6772 0.1010 0.3845
0.0043 0.5585 0.1765
0.3228 0.8990 0.6155
0.0043 0.1765 0.5585
0.2771 0.0752 0.3195
0.3257 0.5602 0.3148
0.6743 0.6852 0.4398
```

Computed properties:
- V: 607.3 Å³ per cell
- SG: C2/m (12)

---

Which structure is most stable? b, by 0.014 eV/atom over the runner-up.